Crystalline AlTlW2 at its relaxed geometry. Source: Alexandria via LeMat-Bulk, functional PBE.

## Properties
* E_tot: -7.3137 eV/atom
* ΔH_f (0 K): 690 meV per atom
* DOS at the Fermi energy: 0.7307 states/eV per atom
* SG: P4/mmm
* size of the total moment: 0.00 μB per atom

Cell lengths 3.3867, 3.3867, 6.3434 Å; angles 90.00, 90.00, 90.00 degrees
With the nearest neighbours (Å) after each atom.
Fractional positions:
Tl 0.5000 0.5000 0.7500  8 W 3.09, 2 Al 3.17, 4 Tl 3.39
Al 0.5000 0.5000 0.2500  8 W 2.69
W 0.0000 0.0000 0.4431  1 W 2.45, 4 Al 2.69
W 0.0000 0.0000 0.0569  1 W 2.45, 4 Al 2.69


Crystalline AlTl2W at its relaxed geometry. Source: Alexandria via LeMat-Bulk, functional PBE.

## Properties
* E_tot: -4.4389 eV/atom
* ΔH_f (0 K): 918 meV per atom
* DOS at the Fermi energy: 0.8033 states/eV per atom
* SG: P4/mmm
* size of the total moment: 0.00 μB per atom

Cell lengths 5.2403, 5.2403, 3.0345 Å; angles 90.00, 90.00, 90.00 degrees
With the nearest neighbours (Å) after each atom.
Fractional positions:
W 0.5000 0.0000 0.5000  8 Tl 3.03, 2 W 3.03
Tl 0.5000 0.5000 0.0000  4 W 3.03, 4 Al 3.03, 2 Tl 3.03
Tl 0.0000 0.0000 0.0000  4 W 3.03, 4 Al 3.03, 2 Tl 3.03
Al 0.0000 0.5000 0.5000  8 Tl 3.03, 2 Al 3.03


Crystalline AlTl2W at its relaxed geometry. Source: Alexandria via LeMat-Bulk, functional PBE.

## Properties
* E_tot: -4.8502 eV/atom
* ΔH_f (0 K): 507 meV per atom
* DOS at the Fermi energy: 0.3950 states/eV per atom
* SG: Cmm2
* size of the total moment: 0.00 μB per atom

Cell lengths 2.9530, 2.9530, 10.7864 Å; angles 90.00, 90.00, 103.50 degrees
With the nearest neighbours (Å) after each atom.
Fractional positions:
Tl 0.5000 0.5000 0.2958  4 Tl 2.95, 2 W 3.15
Tl 0.0000 0.0000 0.9603  4 Tl 2.95, 2 Al 3.26
W 0.0000 0.0000 0.5338  2 Al 2.64, 4 W 2.95
Al 0.5000 0.5000 0.7101  2 W 2.64, 4 Al 2.95